1.
YNb2Ge2: optimized geometry, PBE.

Calculated values
DFT formation energy, meV/atom: -201
Fermi-level density of states, states/eV/cell: 5.5
Total moment, μB/cell: 0.00

Cell and atoms, written as CIF:
```
data_YNb2Ge2
_chemical_formula_sum 'Y2 Nb4 Ge4'
_cell_length_a 4.941
_cell_length_b 4.941
_cell_length_c 8.636
_cell_angle_alpha 90.00
_cell_angle_beta 90.00
_cell_angle_gamma 90.00
_symmetry_space_group_name_H-M 'I 4/m m m'
_symmetry_Int_Tables_number 139
_symmetry_space_group_name_Hall '-I 4 2'
loop_
_atom_site_label
_atom_site_type_symbol
_atom_site_fract_x
_atom_site_fract_y
_atom_site_fract_z
_atom_site_occupancy
Y1 Y 0.000 0.000 0.000 1
Nb1 Nb 0.000 0.000 0.353 1
Ge1 Ge 0.000 0.500 0.250 1
```

2.
YNb2Ge2: optimized geometry, PBE.

Calculated values
DFT formation energy, meV/atom: -198
Fermi-level density of states, states/eV/cell: 6.5
Total moment, μB/cell: 0.00

Cell and atoms, written as CIF:
```
data_YNb2Ge2
_chemical_formula_sum 'Y2 Nb4 Ge4'
_cell_length_a 8.111
_cell_length_b 8.111
_cell_length_c 2.931
_cell_angle_alpha 90.00
_cell_angle_beta 90.00
_cell_angle_gamma 90.00
_symmetry_space_group_name_H-M 'P 4/m b m'
_symmetry_Int_Tables_number 127
_symmetry_space_group_name_Hall '-P 4 2ab'
loop_
_atom_site_label
_atom_site_type_symbol
_atom_site_fract_x
_atom_site_fract_y
_atom_site_fract_z
_atom_site_occupancy
Y1 Y 0.000 0.000 0.000 1
Nb1 Nb 0.118 0.382 0.000 1
Ge1 Ge 0.176 0.676 0.500 1
```